8
Lattice="7.573 0.000 0.000 0.000 7.573 0.000 3.787 3.787 2.557" Properties=species:S:1:pos:R:3 comment="ScRhW2 | Alexandria | GGA-PBE | optimized geometry" polymorph_energy_ev_per_atom=0.660 dos_at_fermi_per_ev_cell=9.3 volume_a3_per_cell=146.66 density_g_cm3=11.67 crystal_system=tetragonal delta_e_f_ev_per_atom=0.53 energy_ev_per_atom=-9.37 pbc="T T T"
Rh 0.000 0.000 0.000
Rh 7.573 3.787 1.278
W 5.967 1.893 0.639
W 9.467 9.753 1.918
W 5.680 5.393 1.918
W 1.607 5.680 0.639
Sc 3.787 3.787 0.000
Sc 3.787 7.573 1.278